Record 1
{
  "formula": "Y8AlPt2",
  "functional": "PBE",
  "state": "relaxed",
  "cell": [[4.384, -6.725, 0.000], [4.384, 6.725, 0.000], [-1.424, 0.000, 5.245]],
  "species": ["Y", "Y", "Y", "Y", "Y", "Y", "Y", "Y", "Al", "Pt", "Pt"],
  "fractional_positions": [[0.000, 0.000, 0.000], [0.058, 0.307, 0.614], [0.144, 0.625, 0.192], [0.307, 0.058, 0.614], [0.461, 0.710, 0.770], [0.625, 0.144, 0.192], [0.710, 0.461, 0.770], [0.768, 0.768, 0.384], [0.384, 0.384, 0.191], [0.077, 0.691, 0.692], [0.691, 0.077, 0.692]],
  "total_energy_ev_per_atom": -6.61,
  "magmom_total_mub_per_cell": 0.77,
  "formation_enthalpy_0k_ev_per_atom": -0.470
}


Record 2
{
  "formula": "Sr5Zn2Pb",
  "functional": "PBE",
  "state": "relaxed",
  "cell": [[-4.260, 4.260, 8.211], [4.260, -4.260, 8.211], [4.260, 4.260, -8.211]],
  "species": ["Sr", "Sr", "Sr", "Sr", "Sr", "Sr", "Sr", "Sr", "Sr", "Sr", "Zn", "Zn", "Zn", "Zn", "Pb", "Pb"],
  "fractional_positions": [[0.000, 0.000, 0.000], [0.035, 0.535, 0.855], [0.180, 0.035, 0.500], [0.320, 0.820, 0.855], [0.465, 0.320, 0.500], [0.500, 0.500, 0.000], [0.535, 0.680, 0.500], [0.680, 0.180, 0.145], [0.820, 0.965, 0.500], [0.965, 0.465, 0.145], [0.107, 0.393, 0.500], [0.393, 0.893, 0.286], [0.607, 0.107, 0.714], [0.893, 0.607, 0.500], [0.250, 0.250, 0.000], [0.750, 0.750, 0.000]],
  "total_energy_ev_per_atom": -2.12,
  "magmom_total_mub_per_cell": 0.02,
  "formation_enthalpy_0k_ev_per_atom": -0.291
}


Record 3
{
  "formula": "BaCaAl3P2H2O14",
  "functional": "PBE",
  "state": "relaxed",
  "cell": [[6.444, -3.471, 0.000], [6.444, 3.471, 0.000], [-3.792, 0.000, 6.109]],
  "species": ["Ba", "Ca", "Al", "Al", "Al", "P", "P", "H", "H", "O", "O", "O", "O", "O", "O", "O", "O", "O", "O", "O", "O", "O", "O"],
  "fractional_positions": [[0.000, 0.000, 0.000], [0.497, 0.497, 0.547], [0.025, 0.528, 0.523], [0.528, 0.025, 0.523], [0.991, 0.991, 0.543], [0.283, 0.283, 0.902], [0.726, 0.726, 0.137], [0.282, 0.282, 0.289], [0.728, 0.728, 0.722], [0.128, 0.489, 0.800], [0.136, 0.732, 0.612], [0.147, 0.147, 0.832], [0.196, 0.992, 0.437], [0.285, 0.285, 0.431], [0.368, 0.368, 0.151], [0.489, 0.128, 0.800], [0.511, 0.873, 0.225], [0.660, 0.660, 0.890], [0.724, 0.724, 0.580], [0.732, 0.136, 0.612], [0.867, 0.867, 0.235], [0.873, 0.511, 0.225], [0.992, 0.196, 0.437]],
  "total_energy_ev_per_atom": -6.78,
  "magmom_total_mub_per_cell": 1.03
}


Record 4
{
  "formula": "Y2MgSnH",
  "functional": "PBE",
  "state": "relaxed",
  "cell": [[4.746, 0.000, 0.000], [0.000, 4.746, 0.000], [0.000, 0.000, 4.613]],
  "species": ["Y", "Y", "Mg", "Sn", "H"],
  "fractional_positions": [[0.000, 0.500, 0.000], [0.500, 0.000, 0.000], [0.000, 0.000, 0.500], [0.500, 0.500, 0.500], [0.000, 0.000, 0.000]],
  "total_energy_ev_per_atom": -4.82,
  "magmom_total_mub_per_cell": 0.00
}


Record 5
{
  "formula": "CaPHPd2",
  "functional": "PBE",
  "state": "relaxed",
  "cell": [[1.934, -5.410, 0.000], [1.934, 5.410, 0.000], [0.000, 0.000, 7.138]],
  "species": ["Ca", "Ca", "P", "P", "H", "H", "Pd", "Pd", "Pd", "Pd"],
  "fractional_positions": [[0.047, 0.953, 0.750], [0.953, 0.047, 0.250], [0.233, 0.767, 0.250], [0.767, 0.233, 0.750], [0.500, 0.500, 0.000], [0.500, 0.500, 0.500], [0.337, 0.663, 0.554], [0.337, 0.663, 0.946], [0.663, 0.337, 0.054], [0.663, 0.337, 0.446]],
  "total_energy_ev_per_atom": -4.98,
  "magmom_total_mub_per_cell": 0.00
}


Record 6
{
  "formula": "VHgS2",
  "functional": "PBE",
  "state": "relaxed",
  "cell": [[6.836, 0.000, 0.000], [0.000, 6.836, 0.000], [0.000, 0.000, 9.788]],
  "species": ["V", "V", "V", "V", "Hg", "Hg", "Hg", "Hg", "S", "S", "S", "S", "S", "S", "S", "S"],
  "fractional_positions": [[0.000, 0.000, 0.000], [0.000, 0.500, 0.250], [0.500, 0.000, 0.750], [0.500, 0.500, 0.500], [0.000, 0.000, 0.500], [0.000, 0.500, 0.750], [0.500, 0.000, 0.250], [0.500, 0.500, 0.000], [0.094, 0.250, 0.125], [0.250, 0.594, 0.375], [0.250, 0.906, 0.875], [0.406, 0.250, 0.625], [0.594, 0.750, 0.625], [0.750, 0.094, 0.875], [0.750, 0.406, 0.375], [0.906, 0.750, 0.125]],
  "total_energy_ev_per_atom": -4.80,
  "magmom_total_mub_per_cell": 4.04,
  "e_form_raw_ev_per_fu": -1.5
}


Record 7
{
  "formula": "Sc3IrI3",
  "functional": "PBE",
  "state": "relaxed",
  "cell": [[8.543, 0.000, 0.000], [0.000, 4.080, 0.000], [-0.578, 0.000, 12.157]],
  "species": ["Sc", "Sc", "Sc", "Sc", "Sc", "Sc", "Ir", "Ir", "I", "I", "I", "I", "I", "I"],
  "fractional_positions": [[0.089, 0.250, 0.296], [0.143, 0.250, 0.872], [0.237, 0.750, 0.093], [0.763, 0.250, 0.907], [0.857, 0.750, 0.128], [0.911, 0.750, 0.704], [0.044, 0.250, 0.086], [0.956, 0.750, 0.914], [0.139, 0.250, 0.620], [0.335, 0.750, 0.346], [0.419, 0.750, 0.873], [0.581, 0.250, 0.127], [0.665, 0.250, 0.654], [0.861, 0.750, 0.380]],
  "total_energy_ev_per_atom": -5.69,
  "magmom_total_mub_per_cell": 0.00,
  "e_form_raw_ev_per_fu": -7.3
}


Record 8
{
  "formula": "Hf5BPb",
  "functional": "PBE",
  "state": "relaxed",
  "cell": [[4.932, -3.108, 0.000], [4.932, 3.108, 0.000], [-3.145, 0.000, 9.520]],
  "species": ["Hf", "Hf", "Hf", "Hf", "Hf", "Hf", "Hf", "Hf", "Hf", "Hf", "B", "B", "Pb", "Pb"],
  "fractional_positions": [[0.034, 0.384, 0.627], [0.052, 0.948, 0.750], [0.198, 0.553, 0.953], [0.384, 0.034, 0.127], [0.447, 0.802, 0.547], [0.553, 0.198, 0.453], [0.616, 0.966, 0.873], [0.802, 0.447, 0.047], [0.948, 0.052, 0.250], [0.966, 0.616, 0.373], [0.000, 0.000, 0.000], [0.000, 0.000, 0.500], [0.442, 0.558, 0.250], [0.558, 0.442, 0.750]],
  "total_energy_ev_per_atom": -8.57,
  "magmom_total_mub_per_cell": 0.00,
  "formation_enthalpy_0k_ev_per_atom": 0.019
}


Record 9
{
  "formula": "RbZn3W",
  "functional": "PBE",
  "state": "relaxed",
  "cell": [[5.160, 0.000, 0.000], [0.000, 5.160, 0.000], [0.000, 0.000, 5.160]],
  "species": ["Rb", "Zn", "Zn", "Zn", "W"],
  "fractional_positions": [[0.000, 0.000, 0.000], [0.000, 0.000, 0.500], [0.000, 0.500, 0.000], [0.500, 0.000, 0.000], [0.500, 0.500, 0.500]],
  "total_energy_ev_per_atom": -1.05,
  "magmom_total_mub_per_cell": 0.00,
  "relative_energy_ev_per_atom": 1.731,
  "formation_enthalpy_0k_ev_per_atom": 2.497
}


Record 10
{
  "formula": "Li3VGe",
  "functional": "PBE",
  "state": "relaxed",
  "cell": [[4.666, 0.000, 0.000], [0.000, 4.666, 0.000], [0.000, 0.000, 4.666]],
  "species": ["Li", "Li", "Li", "V", "Ge"],
  "fractional_positions": [[0.000, 0.000, 0.500], [0.000, 0.500, 0.000], [0.500, 0.000, 0.000], [0.500, 0.500, 0.500], [0.000, 0.000, 0.000]],
  "total_energy_ev_per_atom": -3.35,
  "magmom_total_mub_per_cell": 3.79,
  "relative_energy_ev_per_atom": 0.000,
  "formation_enthalpy_0k_ev_per_atom": 0.541
}